(1)
CsPaCrN3 (PBE-GGA, relaxed); energy relative to the elements, uncorrected = -0.82 eV/atom; symmetry = C2/m (12); mass density = 7.32 Mg/m³
1.0
3.753 0.000 0.000
-1.876 6.661 -0.003
0.000 -1.938 8.315
Cr Pa N Cs
2 2 6 2
Cartesian
1.876 5.248 5.603
0.000 -0.525 2.709
1.876 0.901 4.742
0.000 3.823 3.569
1.876 4.247 2.272
0.000 1.459 3.388
0.000 5.234 5.534
1.876 3.264 4.924
0.000 0.477 6.040
1.876 -0.511 2.777
1.876 1.740 0.536
0.000 2.984 7.776



(2)
VSn (PBE-GGA, relaxed); final energy = -6.038 eV per atom; symmetry = Fm-3m (225); mass density = 6.91 Mg/m³
1.0
-5.152 1.053 1.479
0.825 -2.607 4.729
1.618 4.684 2.300
Sn V
4 4
Cartesian
-2.576 0.527 0.740
0.809 2.342 1.150
-1.355 1.565 4.254
0.412 -1.304 2.365
-2.164 -0.777 3.104
0.000 0.000 0.000
1.221 1.038 3.515
-1.767 2.868 1.890



(3)
As6Cl7 (PBE-GGA, relaxed); energy relative to the elements, uncorrected = -0.11 eV/atom; symmetry = R-3m (166); mass density = 2.17 Mg/m³
1.0
-6.768 11.401 -1.272
-6.369 8.796 -7.713
-11.193 6.425 -3.293
Cl As
7 6
Cartesian
-10.127 9.008 -6.222
-16.499 15.033 -7.104
-10.334 10.359 -2.881
-12.165 13.311 -6.139
-13.996 16.263 -9.397
-14.204 17.614 -6.055
-7.831 11.589 -5.174
-2.801 3.065 -1.413
-20.158 22.057 -10.172
-16.861 18.450 -8.508
-4.172 4.565 -2.105
-7.469 8.172 -3.769
-21.529 23.557 -10.864